Record 1
Density functional theory data (PBE) for an optimized crystal structure of AcCe2AlO6.

Properties
Uncorrected formation energy   -2.98 eV per atom

```
data_AcCe2AlO6
_cell_length_a 5.426
_cell_length_b 5.426
_cell_length_c 5.609
_cell_angle_alpha 90.00
_cell_angle_beta 90.00
_cell_angle_gamma 90.00
_symmetry_space_group_name_H-M 'P 4 m m'
_symmetry_Int_Tables_number 99
_symmetry_space_group_name_Hall 'P 4 -2'
loop_
_atom_site_label
_atom_site_type_symbol
_atom_site_fract_x
_atom_site_fract_y
_atom_site_fract_z
_atom_site_occupancy
Ac1 Ac 0.000 0.000 0.000 1
Ce1 Ce 0.000 0.500 0.455 1
Al1 Al 0.500 0.500 0.088 1
O1 O 0.000 0.000 0.576 1
O2 O 0.271 0.271 0.215 1
O3 O 0.500 0.500 0.766 1
```



Record 2
Density functional theory data (PBE) for an optimized crystal structure of CdAg2Cl.

Properties
Excess energy over the best structure of this formula in the dataset   68 meV/atom
Uncorrected formation energy   -0.09 eV per atom

```
data_CdAg2Cl
_cell_length_a 3.393
_cell_length_b 5.587
_cell_length_c 8.704
_cell_angle_alpha 90.00
_cell_angle_beta 90.00
_cell_angle_gamma 90.00
_symmetry_space_group_name_H-M 'C m m m'
_symmetry_Int_Tables_number 65
_symmetry_space_group_name_Hall '-C 2 2'
loop_
_atom_site_label
_atom_site_type_symbol
_atom_site_fract_x
_atom_site_fract_y
_atom_site_fract_z
_atom_site_occupancy
Cd1 Cd 0.000 0.000 0.000 1
Ag1 Ag 0.000 0.500 0.260 1
Cl1 Cl 0.000 0.000 0.500 1
```



Record 3
Density functional theory data (PBE) for an optimized crystal structure of Tm2Zn3Sn3.

Properties
DFT formation energy   -374 meV per atom

```
data_Tm2Zn3Sn3
_cell_length_a 4.446
_cell_length_b 4.480
_cell_length_c 8.726
_cell_angle_alpha 90.00
_cell_angle_beta 90.00
_cell_angle_gamma 90.00
_symmetry_space_group_name_H-M 'P m m m'
_symmetry_Int_Tables_number 47
_symmetry_space_group_name_Hall '-P 2 2'
loop_
_atom_site_label
_atom_site_type_symbol
_atom_site_fract_x
_atom_site_fract_y
_atom_site_fract_z
_atom_site_occupancy
Tm1 Tm 0.000 0.000 0.247 1
Zn1 Zn 0.000 0.500 0.000 1
Zn2 Zn 0.500 0.500 0.229 1
Sn1 Sn 0.000 0.500 0.500 1
Sn2 Sn 0.500 0.000 0.000 1
Sn3 Sn 0.500 0.000 0.500 1
```



Record 4
Density functional theory data (PBE) for an optimized crystal structure of Sr2ScAs3Rh4.

Properties
DFT formation energy   -852 meV per atom

```
data_Sr2ScAs3Rh4
_cell_length_a 4.187
_cell_length_b 4.187
_cell_length_c 11.064
_cell_angle_alpha 90.00
_cell_angle_beta 90.00
_cell_angle_gamma 90.00
_symmetry_space_group_name_H-M 'P -4 m 2'
_symmetry_Int_Tables_number 115
_symmetry_space_group_name_Hall 'P -4 -2'
loop_
_atom_site_label
_atom_site_type_symbol
_atom_site_fract_x
_atom_site_fract_y
_atom_site_fract_z
_atom_site_occupancy
Sr1 Sr 0.000 0.500 0.240 1
Sc1 Sc 0.000 0.000 0.500 1
As1 As 0.000 0.500 0.871 1
As2 As 0.500 0.500 0.500 1
Rh1 Rh 0.000 0.000 0.000 1
Rh2 Rh 0.000 0.500 0.645 1
Rh3 Rh 0.500 0.500 0.000 1
```



| no. | DOS at the Fermi energy (states/eV/cell) |
| --- | --- |
| 1 | 14.441 |
| 2 | 1.561 |
| 3 | 2.767 |
| 4 | 5.494 |